The following is a PBEsol calculation of a relaxed SrTa2Cu crystal, from Alexandria.

Summary:
Electronic total energy   -6.92 eV per atom
Crystal system   orthorhombic
Total magnetic moment   0.000 μB per cell
Calculated density   10.40 g cm⁻³
Energy above the lowest structure with this stoichiometry   431 meV per atom
DOS at the Fermi energy   4.10 states/eV/f.u.

```
SrTa2Cu
1.0
-1.837 1.913 1.390
-2.611 -4.220 2.356
5.364 1.365 1.986
Cu Sr Ta
1 1 2
Cartesian
-2.055 -1.142 2.082
0.741 1.068 2.735
0.210 -2.008 3.041
0.710 -0.955 5.479
```